An optimized crystal structure of MnAlCu3. Source: Alexandria via LeMat-Bulk, functional GGA-PBE.

Structure (CIF):
```
data_MnAlCu3
_chemical_formula_sum 'Mn1 Al1 Cu3'
_symmetry_space_group_name_H-M 'P m -3 m'
_symmetry_Int_Tables_number 221
_symmetry_space_group_name_Hall '-P 4 2 3'
_cell_length_a 4.4316
_cell_length_b 4.4316
_cell_length_c 4.4316
_cell_angle_alpha 90.00
_cell_angle_beta 90.00
_cell_angle_gamma 90.00
loop_
_atom_site_label
_atom_site_type_symbol
_atom_site_fract_x
_atom_site_fract_y
_atom_site_fract_z
Mn1 Mn 0.0000 0.0000 0.0000
Al1 Al 0.5000 0.5000 0.5000
Cu1 Cu 0.0000 0.5000 0.5000
```

**Energy relative to the lowest polymorph listed for this composition**: 0 meV per atom
**Formation energy**: 0.761 eV per atom
**E_tot**: -4.279 eV per atom

---

An optimized crystal structure of InSiRh. Source: Alexandria via LeMat-Bulk, functional GGA-PBE.

Structure (CIF):
```
data_InSiRh
_chemical_formula_sum 'In2 Si2 Rh2'
_symmetry_space_group_name_H-M 'I 4 m m'
_symmetry_Int_Tables_number 107
_symmetry_space_group_name_Hall 'I 4 -2'
_cell_length_a 3.2775
_cell_length_b 3.2775
_cell_length_c 9.4205
_cell_angle_alpha 90.00
_cell_angle_beta 90.00
_cell_angle_gamma 90.00
loop_
_atom_site_label
_atom_site_type_symbol
_atom_site_fract_x
_atom_site_fract_y
_atom_site_fract_z
In1 In 0.0000 0.0000 0.0000
Si1 Si 0.0000 0.0000 0.6999
Rh1 Rh 0.0000 0.0000 0.3011
```

**ΔE_f (raw)**: -0.2436 eV/atom
**E_tot**: -5.415 eV per atom

---

An optimized crystal structure of LuGaAgPt. Source: Alexandria via LeMat-Bulk, functional GGA-PBE.

Structure (CIF):
```
data_LuGaAgPt
_chemical_formula_sum 'Lu4 Ga4 Ag4 Pt4'
_symmetry_space_group_name_H-M 'F -4 3 m'
_symmetry_Int_Tables_number 216
_symmetry_space_group_name_Hall 'F -4 2 3'
_cell_length_a 6.6442
_cell_length_b 6.6442
_cell_length_c 6.6442
_cell_angle_alpha 90.00
_cell_angle_beta 90.00
_cell_angle_gamma 90.00
loop_
_atom_site_label
_atom_site_type_symbol
_atom_site_fract_x
_atom_site_fract_y
_atom_site_fract_z
Lu1 Lu 0.0000 0.0000 0.0000
Ga1 Ga 0.0000 0.0000 0.5000
Ag1 Ag 0.2500 0.2500 0.7500
Pt1 Pt 0.2500 0.2500 0.2500
```

**Formation energy**: -0.661 eV per atom
**E_tot**: -4.770 eV per atom

---

An optimized crystal structure of BaLa2Sb. Source: Alexandria via LeMat-Bulk, functional GGA-PBE.

Structure (CIF):
```
data_BaLa2Sb
_chemical_formula_sum 'Ba3 La6 Sb3'
_symmetry_space_group_name_H-M 'R -3 m'
_symmetry_Int_Tables_number 166
_symmetry_space_group_name_Hall '-R 3 2"'
_cell_length_a 4.3550
_cell_length_b 4.3550
_cell_length_c 32.6457
_cell_angle_alpha 90.00
_cell_angle_beta 90.00
_cell_angle_gamma 120.00
loop_
_atom_site_label
_atom_site_type_symbol
_atom_site_fract_x
_atom_site_fract_y
_atom_site_fract_z
Ba1 Ba 0.0000 0.0000 0.0000
La1 La 0.0000 0.0000 0.2254
Sb1 Sb 0.0000 0.0000 0.5000
```

**ΔE_f (raw)**: -0.4432 eV/atom
**E_tot**: -4.418 eV per atom

---

An optimized crystal structure of Au5Cl. Source: Alexandria via LeMat-Bulk, functional GGA-PBE.

Structure (CIF):
```
data_Au5Cl
_chemical_formula_sum 'Au5 Cl1'
_symmetry_space_group_name_H-M 'P 4/m m m'
_symmetry_Int_Tables_number 123
_symmetry_space_group_name_Hall '-P 4 2'
_cell_length_a 3.1870
_cell_length_b 3.1870
_cell_length_c 11.1385
_cell_angle_alpha 90.00
_cell_angle_beta 90.00
_cell_angle_gamma 90.00
loop_
_atom_site_label
_atom_site_type_symbol
_atom_site_fract_x
_atom_site_fract_y
_atom_site_fract_z
Au1 Au 0.0000 0.0000 0.0000
Au2 Au 0.0000 0.0000 0.3203
Au3 Au 0.5000 0.5000 0.1607
Cl1 Cl 0.5000 0.5000 0.5000
```

**ΔE_f (raw)**: 0.1167 eV/atom
**Energy relative to the lowest polymorph listed for this composition**: 0 meV per atom
**E_tot**: -2.922 eV per atom

---

An optimized crystal structure of LaIr2N. Source: Alexandria via LeMat-Bulk, functional GGA-PBE.

Structure (CIF):
```
data_LaIr2N
_chemical_formula_sum 'La4 Ir8 N4'
_symmetry_space_group_name_H-M 'I -4 2 d'
_symmetry_Int_Tables_number 122
_symmetry_space_group_name_Hall 'I -4 2bw'
_cell_length_a 4.9442
_cell_length_b 4.9442
_cell_length_c 12.9306
_cell_angle_alpha 90.00
_cell_angle_beta 90.00
_cell_angle_gamma 90.00
loop_
_atom_site_label
_atom_site_type_symbol
_atom_site_fract_x
_atom_site_fract_y
_atom_site_fract_z
La1 La 0.0000 0.0000 0.0000
Ir1 Ir 0.0567 0.2500 0.6250
N1 N 0.0000 0.0000 0.5000
```

**ΔE_f (raw)**: -0.1099 eV/atom
**E_tot**: -7.854 eV per atom

---

An optimized crystal structure of TlFe2Hg. Source: Alexandria via LeMat-Bulk, functional GGA-PBE.

Structure (CIF):
```
data_TlFe2Hg
_chemical_formula_sum 'Tl2 Fe4 Hg2'
_symmetry_space_group_name_H-M 'C 1 2/m 1'
_symmetry_Int_Tables_number 12
_symmetry_space_group_name_Hall '-C 2y'
_cell_length_a 9.5677
_cell_length_b 2.9897
_cell_length_c 6.5824
_cell_angle_alpha 90.00
_cell_angle_beta 116.86
_cell_angle_gamma 90.00
loop_
_atom_site_label
_atom_site_type_symbol
_atom_site_fract_x
_atom_site_fract_y
_atom_site_fract_z
Tl1 Tl 0.0000 0.0000 0.0000
Fe1 Fe 0.2293 0.5000 0.3502
Hg1 Hg 0.0000 0.5000 0.5000
```

**Energy relative to the lowest polymorph listed for this composition**: 133 meV per atom
**Formation energy**: 0.514 eV per atom
**E_tot**: -4.384 eV per atom

---

An optimized crystal structure of Cd2Au7. Source: Alexandria via LeMat-Bulk, functional GGA-PBE.

Structure (CIF):
```
data_Cd2Au7
_chemical_formula_sum 'Cd12 Au42'
_symmetry_space_group_name_H-M 'R -3 m'
_symmetry_Int_Tables_number 166
_symmetry_space_group_name_Hall '-R 3 2"'
_cell_length_a 5.5587
_cell_length_b 5.5587
_cell_length_c 41.8861
_cell_angle_alpha 90.00
_cell_angle_beta 90.00
_cell_angle_gamma 120.00
loop_
_atom_site_label
_atom_site_type_symbol
_atom_site_fract_x
_atom_site_fract_y
_atom_site_fract_z
Cd1 Cd 0.0000 0.0000 0.0427
Cd2 Cd 0.0000 0.0000 0.1495
Au1 Au 0.0000 0.0000 0.2765
Au2 Au 0.0000 0.0000 0.3897
Au3 Au 0.0000 0.0000 0.5000
Au4 Au 0.0000 0.5000 0.0000
Au5 Au 0.0039 0.5019 0.8871
```

**Formation energy**: -0.017 eV per atom
**E_tot**: -2.770 eV per atom

---

An optimized crystal structure of InTcPb2. Source: Alexandria via LeMat-Bulk, functional GGA-PBE.

Structure (CIF):
```
data_InTcPb2
_chemical_formula_sum 'In1 Tc1 Pb2'
_symmetry_space_group_name_H-M 'P 4/m m m'
_symmetry_Int_Tables_number 123
_symmetry_space_group_name_Hall '-P 4 2'
_cell_length_a 5.0393
_cell_length_b 5.0393
_cell_length_c 3.7857
_cell_angle_alpha 90.00
_cell_angle_beta 90.00
_cell_angle_gamma 90.00
loop_
_atom_site_label
_atom_site_type_symbol
_atom_site_fract_x
_atom_site_fract_y
_atom_site_fract_z
In1 In 0.0000 0.0000 0.0000
Tc1 Tc 0.5000 0.5000 0.0000
Pb1 Pb 0.0000 0.5000 0.5000
```

**Formation energy**: 0.675 eV per atom
**E_tot**: -4.455 eV per atom

---

An optimized crystal structure of TbGa4Pd8. Source: Alexandria via LeMat-Bulk, functional GGA-PBE.

Structure (CIF):
```
data_TbGa4Pd8
_chemical_formula_sum 'Tb2 Ga8 Pd16'
_symmetry_space_group_name_H-M 'I 4/m m m'
_symmetry_Int_Tables_number 139
_symmetry_space_group_name_Hall '-I 4 2'
_cell_length_a 8.8630
_cell_length_b 8.8630
_cell_length_c 5.3654
_cell_angle_alpha 90.00
_cell_angle_beta 90.00
_cell_angle_gamma 90.00
loop_
_atom_site_label
_atom_site_type_symbol
_atom_site_fract_x
_atom_site_fract_y
_atom_site_fract_z
Tb1 Tb 0.0000 0.0000 0.0000
Ga1 Ga 0.2500 0.2500 0.2500
Pd1 Pd 0.0000 0.2219 0.5000
Pd2 Pd 0.0000 0.3363 0.0000
```

**Formation energy**: -0.663 eV per atom
**E_tot**: -5.147 eV per atom

---

An optimized crystal structure of Zr2AlCdCu. Source: Alexandria via LeMat-Bulk, functional GGA-PBE.

Structure (CIF):
```
data_Zr2AlCdCu
_chemical_formula_sum 'Zr2 Al1 Cd1 Cu1'
_symmetry_space_group_name_H-M 'P 4/m m m'
_symmetry_Int_Tables_number 123
_symmetry_space_group_name_Hall '-P 4 2'
_cell_length_a 5.0812
_cell_length_b 5.0812
_cell_length_c 4.3937
_cell_angle_alpha 90.00
_cell_angle_beta 90.00
_cell_angle_gamma 90.00
loop_
_atom_site_label
_atom_site_type_symbol
_atom_site_fract_x
_atom_site_fract_y
_atom_site_fract_z
Zr1 Zr 0.0000 0.5000 0.0000
Al1 Al 0.0000 0.0000 0.0000
Cd1 Cd 0.5000 0.5000 0.5000
Cu1 Cu 0.0000 0.0000 0.5000
```

**Energy relative to the lowest polymorph listed for this composition**: 0 meV per atom
**Formation energy**: 0.497 eV per atom
**E_tot**: -4.674 eV per atom

---

An optimized crystal structure of Ti2FeAg. Source: Alexandria via LeMat-Bulk, functional GGA-PBE.

Structure (CIF):
```
data_Ti2FeAg
_chemical_formula_sum 'Ti8 Fe4 Ag4'
_symmetry_space_group_name_H-M 'F m -3 m'
_symmetry_Int_Tables_number 225
_symmetry_space_group_name_Hall '-F 4 2 3'
_cell_length_a 6.2389
_cell_length_b 6.2389
_cell_length_c 6.2389
_cell_angle_alpha 90.00
_cell_angle_beta 90.00
_cell_angle_gamma 90.00
loop_
_atom_site_label
_atom_site_type_symbol
_atom_site_fract_x
_atom_site_fract_y
_atom_site_fract_z
Ti1 Ti 0.2500 0.2500 0.2500
Fe1 Fe 0.0000 0.0000 0.0000
Ag1 Ag 0.0000 0.0000 0.5000
```

**Energy relative to the lowest polymorph listed for this composition**: 179 meV per atom
**Formation energy**: 0.039 eV per atom
**E_tot**: -6.737 eV per atom

---

An optimized crystal structure of SmUS2O. Source: Alexandria via LeMat-Bulk, functional GGA-PBE.

Structure (CIF):
```
data_SmUS2O
_chemical_formula_sum 'Sm2 U2 S4 O2'
_symmetry_space_group_name_H-M 'P 4/n m m'
_symmetry_Int_Tables_number 129
_cell_length_a 3.8895
_cell_length_b 3.8895
_cell_length_c 13.6128
_cell_angle_alpha 90.00
_cell_angle_beta 90.00
_cell_angle_gamma 90.00
loop_
_symmetry_equiv_pos_as_xyz
'x,y,z'
'-x,-y,-z'
'-y+1/2,x,z'
'y+1/2,-x,-z'
'-x+1/2,-y+1/2,z'
'x+1/2,y+1/2,-z'
'y,-x+1/2,z'
'-y,x+1/2,-z'
'x+1/2,-y,-z'
'-x+1/2,y,z'
'-y,-x,-z'
'y,x,z'
'-x,y+1/2,-z'
'x,-y+1/2,z'
'y+1/2,x+1/2,-z'
'-y+1/2,-x+1/2,z'
loop_
_atom_site_label
_atom_site_type_symbol
_atom_site_fract_x
_atom_site_fract_y
_atom_site_fract_z
Sm1 Sm 0.2500 0.2500 0.1092
U1 U 0.2500 0.2500 0.5953
S1 S 0.2500 0.2500 0.3139
S2 S 0.2500 0.2500 0.8939
O1 O 0.2500 0.7500 0.5000
```

**ΔE_f (raw)**: -2.2352 eV/atom
**E_tot**: -8.079 eV per atom

---

An optimized crystal structure of Ba4P. Source: Alexandria via LeMat-Bulk, functional GGA-PBE.

Structure (CIF):
```
data_Ba4P
_chemical_formula_sum 'Ba4 P1'
_symmetry_space_group_name_H-M 'P m -3 m'
_symmetry_Int_Tables_number 221
_symmetry_space_group_name_Hall '-P 4 2 3'
_cell_length_a 6.4758
_cell_length_b 6.4758
_cell_length_c 6.4758
_cell_angle_alpha 90.00
_cell_angle_beta 90.00
_cell_angle_gamma 90.00
loop_
_atom_site_label
_atom_site_type_symbol
_atom_site_fract_x
_atom_site_fract_y
_atom_site_fract_z
Ba1 Ba 0.0000 0.0000 0.0000
Ba2 Ba 0.0000 0.5000 0.5000
P1 P 0.5000 0.5000 0.5000
```

**Energy relative to the lowest polymorph listed for this composition**: 23 meV per atom
**Formation energy**: -0.411 eV per atom
**E_tot**: -3.031 eV per atom

---

An optimized crystal structure of SmPaAs. Source: Alexandria via LeMat-Bulk, functional GGA-PBE.

Structure (CIF):
```
data_SmPaAs
_chemical_formula_sum 'Sm1 Pa1 As1'
_symmetry_space_group_name_H-M 'P 3 m 1'
_symmetry_Int_Tables_number 156
_symmetry_space_group_name_Hall 'P 3 -2"'
_cell_length_a 3.8517
_cell_length_b 3.8517
_cell_length_c 6.6439
_cell_angle_alpha 90.00
_cell_angle_beta 90.00
_cell_angle_gamma 120.00
loop_
_atom_site_label
_atom_site_type_symbol
_atom_site_fract_x
_atom_site_fract_y
_atom_site_fract_z
Sm1 Sm 0.0000 0.0000 0.0000
Pa1 Pa 0.3333 0.6667 0.5536
As1 As 0.6667 0.3333 0.2828
```

**Energy relative to the lowest polymorph listed for this composition**: 27 meV per atom
**Formation energy**: -0.454 eV per atom
**E_tot**: -6.742 eV per atom

---

An optimized crystal structure of Ta2PbCl. Source: Alexandria via LeMat-Bulk, functional GGA-PBE.

Structure (CIF):
```
data_Ta2PbCl
_chemical_formula_sum 'Ta2 Pb1 Cl1'
_symmetry_space_group_name_H-M 'P 4 m m'
_symmetry_Int_Tables_number 99
_symmetry_space_group_name_Hall 'P 4 -2'
_cell_length_a 2.9885
_cell_length_b 2.9885
_cell_length_c 10.3233
_cell_angle_alpha 90.00
_cell_angle_beta 90.00
_cell_angle_gamma 90.00
loop_
_atom_site_label
_atom_site_type_symbol
_atom_site_fract_x
_atom_site_fract_y
_atom_site_fract_z
Ta1 Ta 0.0000 0.0000 0.0000
Ta2 Ta 0.5000 0.5000 0.2106
Pb1 Pb 0.5000 0.5000 0.7593
Cl1 Cl 0.0000 0.0000 0.3757
```

**ΔE_f (raw)**: -0.0248 eV/atom
**Energy relative to the lowest polymorph listed for this composition**: 55 meV per atom
**E_tot**: -7.340 eV per atom

---

An optimized crystal structure of Li2TcOs. Source: Alexandria via LeMat-Bulk, functional GGA-PBE.

Structure (CIF):
```
data_Li2TcOs
_chemical_formula_sum 'Li4 Tc2 Os2'
_symmetry_space_group_name_H-M 'C m m 2'
_symmetry_Int_Tables_number 35
_symmetry_space_group_name_Hall 'C 2 -2'
_cell_length_a 2.8431
_cell_length_b 4.5232
_cell_length_c 9.4335
_cell_angle_alpha 90.00
_cell_angle_beta 90.00
_cell_angle_gamma 90.00
loop_
_atom_site_label
_atom_site_type_symbol
_atom_site_fract_x
_atom_site_fract_y
_atom_site_fract_z
Li1 Li 0.0000 0.0000 0.0000
Li2 Li 0.0000 0.5000 0.2829
Tc1 Tc 0.0000 0.0000 0.5302
Os1 Os 0.0000 0.5000 0.7611
```

**Energy relative to the lowest polymorph listed for this composition**: 138 meV per atom
**Formation energy**: 0.248 eV per atom
**E_tot**: -6.108 eV per atom

---

An optimized crystal structure of KSbO. Source: Alexandria via LeMat-Bulk, functional GGA-PBE.

Structure (CIF):
```
data_KSbO
_chemical_formula_sum 'K4 Sb4 O4'
_symmetry_space_group_name_H-M 'I m a 2'
_symmetry_Int_Tables_number 46
_symmetry_space_group_name_Hall 'I 2 -2a'
_cell_length_a 4.9299
_cell_length_b 5.2225
_cell_length_c 11.7888
_cell_angle_alpha 90.00
_cell_angle_beta 90.00
_cell_angle_gamma 90.00
loop_
_atom_site_label
_atom_site_type_symbol
_atom_site_fract_x
_atom_site_fract_y
_atom_site_fract_z
K1 K 0.2500 0.2469 0.0000
Sb1 Sb 0.2500 0.6924 0.2421
O1 O 0.2500 0.7397 0.0783
```

**ΔE_f (raw)**: -1.0454 eV/atom
**Energy relative to the lowest polymorph listed for this composition**: 11 meV per atom
**E_tot**: -4.438 eV per atom

---

An optimized crystal structure of Ba3Ag2Pt7. Source: Alexandria via LeMat-Bulk, functional GGA-PBE.

Structure (CIF):
```
data_Ba3Ag2Pt7
_chemical_formula_sum 'Ba9 Ag6 Pt21'
_symmetry_space_group_name_H-M 'R -3 m'
_symmetry_Int_Tables_number 166
_symmetry_space_group_name_Hall '-R 3 2"'
_cell_length_a 5.6792
_cell_length_b 5.6792
_cell_length_c 27.5569
_cell_angle_alpha 90.00
_cell_angle_beta 90.00
_cell_angle_gamma 120.00
loop_
_atom_site_label
_atom_site_type_symbol
_atom_site_fract_x
_atom_site_fract_y
_atom_site_fract_z
Ba1 Ba 0.0000 0.0000 0.0000
Ba2 Ba 0.0000 0.0000 0.1404
Ag1 Ag 0.0000 0.0000 0.3329
Pt1 Pt 0.0000 0.0000 0.5000
Pt2 Pt 0.0010 0.5005 0.9166
```

**Formation energy**: -0.574 eV per atom
**E_tot**: -5.054 eV per atom

---

An optimized crystal structure of MgTlPd3. Source: Alexandria via LeMat-Bulk, functional GGA-PBE.

Structure (CIF):
```
data_MgTlPd3
_chemical_formula_sum 'Mg2 Tl2 Pd6'
_symmetry_space_group_name_H-M 'P 1 21/m 1'
_symmetry_Int_Tables_number 11
_symmetry_space_group_name_Hall '-P 2yb'
_cell_length_a 4.3746
_cell_length_b 5.5829
_cell_length_c 7.5875
_cell_angle_alpha 90.00
_cell_angle_beta 90.16
_cell_angle_gamma 90.00
loop_
_atom_site_label
_atom_site_type_symbol
_atom_site_fract_x
_atom_site_fract_y
_atom_site_fract_z
Mg1 Mg 0.2495 0.2500 0.3774
Tl1 Tl 0.2485 0.7500 0.0565
Pd1 Pd 0.2497 0.7500 0.4203
Pd2 Pd 0.2511 0.0045 0.7424
```

**Energy relative to the lowest polymorph listed for this composition**: 0 meV per atom
**Formation energy**: -0.404 eV per atom
**E_tot**: -4.312 eV per atom